Record 1
A plane-wave DFT calculation with PBE was carried out for YAl2Ag after structural relaxation.

Summary:
**Spin magnetization**: 0.0000 μB/atom
**E_form**: -1.22 eV per formula unit
**SG**: C2/m
**ρ**: 4.89 g/cm³

```
YAl2Ag
1.0
3.786 -2.188 0.000
3.786 2.188 0.000
-2.530 0.000 5.140
Y Al Ag
1 2 1
direct
0.000 0.000 0.000
0.214 0.214 0.641
0.786 0.786 0.359
0.500 0.500 0.500
```

=====

Record 2
A plane-wave DFT calculation with PBE was carried out for Ac4CeIr3 after structural relaxation.

Summary:
**Spin magnetization**: 0.0760 μB/atom
**E_form**: -4.67 eV per formula unit
**SG**: Cc
**ρ**: 9.90 g/cm³

```
Ac4CeIr3
1.0
7.171 -3.750 0.000
7.171 3.750 0.000
-4.514 0.000 10.130
Ac Ce Ir
8 2 6
direct
0.022 0.357 0.414
0.159 0.841 0.500
0.357 0.022 0.914
0.410 0.768 0.202
0.618 0.954 0.602
0.768 0.410 0.702
0.841 0.159 0.000
0.954 0.618 0.102
0.231 0.569 0.801
0.569 0.231 0.301
0.002 0.955 0.746
0.210 0.225 0.679
0.225 0.210 0.179
0.582 0.584 0.946
0.584 0.582 0.446
0.955 0.002 0.246
```

=====

Record 3
A plane-wave DFT calculation with PBE was carried out for CrTeP2 after structural relaxation.

Summary:
**Spin magnetization**: 0.6454 μB/atom
**Formation energy without anion corrections**: 0.17 eV per atom
**SG**: P2/m
**ρ**: 5.31 g/cm³

```
CrTeP2
1.0
3.894 0.000 0.000
0.000 4.339 0.000
-0.817 0.000 4.470
Cr Te P
1 1 2
direct
0.000 0.000 0.000
0.500 0.000 0.500
0.228 0.500 0.856
0.772 0.500 0.144
```

=====

Q: The highest spin magnetization belongs to which entry?
A: CrTeP2

=====

Q: Among the records above, which one has the highest spin magnetization?
A: CrTeP2